This record from Alexandria describes a relaxed structure of Sr3Tl4Rh4. The functional is PBE.

Lattice parameters (Å, degrees): 4.5130 7.9836 8.7643 117.09 104.92 90.00
Positions (direct):
Sr 0.1221 0.1221 0.2441
Sr 0.8779 0.8779 0.7559
Sr 0.0000 0.5000 0.0000
Tl 0.3331 0.1352 0.6663
Tl 0.6669 0.4689 0.3337
Tl 0.6669 0.8648 0.3337
Tl 0.3331 0.5311 0.6663
Rh 0.2202 0.7202 0.4404
Rh 0.7798 0.2798 0.5596
Rh 0.5000 0.8388 0.0000
Rh 0.5000 0.1612 0.0000

Values from the calculation:
As for the formation energy: -0.229 eV/atom. Its crystal system is orthorhombic. Its space group is No. 71.



This record from Alexandria describes a relaxed structure of Sr2Tl5Rh4. The functional is PBE.

Lattice parameters (Å, degrees): 6.3498 7.4709 7.0750 80.77 63.34 64.85
Positions (direct):
Sr 0.2813 0.7780 0.6594
Sr 0.7187 0.2220 0.3406
Tl 0.2411 0.1966 0.8421
Tl 0.7589 0.8034 0.1579
Tl 0.0000 0.5000 0.5000
Tl 0.7201 0.1966 0.8421
Tl 0.2799 0.8034 0.1579
Rh 0.3079 0.1398 0.2443
Rh 0.6921 0.8602 0.7557
Rh 0.7784 0.5015 0.9416
Rh 0.2216 0.4985 0.0584

Values from the calculation:
As for the formation energy: -0.045 eV/atom. Its crystal system is monoclinic. Its space group is No. 12.



This record from Alexandria describes a relaxed structure of SrTl2Rh. The functional is PBE.

Lattice parameters (Å, degrees): 3.5671 3.5684 7.7071 90.00 90.00 90.00
Positions (direct):
Rh 0.5000 0.5000 0.2500
Sr 0.5000 0.5000 0.7500
Tl 0.0000 0.0000 0.0520
Tl 0.0000 0.0000 0.4480

Values from the calculation:
As for the formation energy: -0.122 eV/atom. Its crystal system is tetragonal. Its space group is No. 123.



This record from Alexandria describes a relaxed structure of Sr2YTlRh. The functional is PBE.

Lattice parameters (Å, degrees): 5.8189 5.8189 5.3100 90.00 90.00 90.00
Positions (direct):
Y 0.0000 0.0000 0.5000
Sr 0.0000 0.5000 0.0000
Sr 0.5000 0.0000 0.0000
Tl 0.5000 0.5000 0.5000
Rh 0.0000 0.0000 0.0000

Values from the calculation:
As for the formation energy: -0.214 eV/atom. Its crystal system is tetragonal. Its space group is No. 123.



This record from Alexandria describes a relaxed structure of Sr2TlZnRh. The functional is PBE.

Lattice parameters (Å, degrees): 5.7560 5.7560 4.8834 90.00 90.00 90.00
Positions (direct):
Sr 0.0000 0.5000 0.0000
Sr 0.5000 0.0000 0.0000
Tl 0.5000 0.5000 0.5000
Rh 0.0000 0.0000 0.0000
Zn 0.0000 0.0000 0.5000

Values from the calculation:
As for the formation energy: -0.173 eV/atom. Its crystal system is tetragonal. Its space group is No. 123.



This record from Alexandria describes a relaxed structure of SrTlZn2Rh. The functional is PBE.

Lattice parameters (Å, degrees): 4.9129 4.9129 5.1907 90.00 90.00 90.00
Positions (direct):
Sr 0.5000 0.5000 0.5000
Tl 0.0000 0.0000 0.5000
Rh 0.0000 0.0000 0.0000
Zn 0.0000 0.5000 0.0000
Zn 0.5000 0.0000 0.0000

Values from the calculation:
As for the formation energy: -0.219 eV/atom. Its crystal system is tetragonal. Its space group is No. 123.



This record from Alexandria describes a relaxed structure of Sr2TlZn2Rh5. The functional is PBE.

Lattice parameters (Å, degrees): 3.8008 9.8934 9.8934 90.00 90.00 90.00
Positions (direct):
Sr 0.0000 0.6780 0.1780
Sr 0.0000 0.3220 0.8220
Sr 0.0000 0.1780 0.3220
Sr 0.0000 0.8220 0.6780
Tl 0.0000 0.0000 0.0000
Tl 0.0000 0.5000 0.5000
Zn 0.0000 0.1197 0.6197
Zn 0.0000 0.8803 0.3803
Zn 0.0000 0.6197 0.8803
Zn 0.0000 0.3803 0.1197
Rh 0.5000 0.2118 0.0631
Rh 0.5000 0.7882 0.9369
Rh 0.5000 0.0631 0.7882
Rh 0.5000 0.7118 0.4369
Rh 0.5000 0.9369 0.2118
Rh 0.5000 0.2882 0.5631
Rh 0.5000 0.5631 0.7118
Rh 0.5000 0.4369 0.2882
Rh 0.5000 0.5000 0.0000
Rh 0.5000 0.0000 0.5000

Values from the calculation:
As for the formation energy: -0.210 eV/atom. Its crystal system is tetragonal. Its space group is No. 127.



This record from Alexandria describes a relaxed structure of Sr2TlZnRh. The functional is PBE.

Lattice parameters (Å, degrees): 5.7469 5.7469 5.2423 90.00 90.00 90.00
Positions (direct):
Sr 0.0000 0.5000 0.0000
Sr 0.5000 0.0000 0.0000
Tl 0.0000 0.0000 0.5000
Rh 0.0000 0.0000 0.0000
Zn 0.5000 0.5000 0.5000

Values from the calculation:
As for the formation energy: -0.122 eV/atom. Its crystal system is tetragonal. Its space group is No. 123.



This record from Alexandria describes a relaxed structure of SrTm3Rh. The functional is PBE.

Lattice parameters (Å, degrees): 5.4338 5.4338 5.4338 90.00 90.00 90.00
Positions (direct):
Sr 0.5000 0.5000 0.5000
Tm 0.0000 0.5000 0.0000
Tm 0.0000 0.0000 0.5000
Tm 0.5000 0.0000 0.0000
Rh 0.0000 0.0000 0.0000

Values from the calculation:
As for the formation energy: -0.313 eV/atom. Its crystal system is cubic. Its space group is No. 221.



This record from Alexandria describes a relaxed structure of SrTmRh. The functional is PBE.

Lattice parameters (Å, degrees): 4.9402 7.5415 10.8739 92.47 103.13 90.00
Positions (direct):
Sr 0.0787 0.3137 0.1573
Sr 0.4108 0.1625 0.8217
Sr 0.5892 0.8375 0.1783
Sr 0.9213 0.6863 0.8427
Tm 0.2119 0.6137 0.4238
Tm 0.7662 0.8692 0.5323
Tm 0.7881 0.3863 0.5762
Tm 0.2338 0.1308 0.4677
Rh 0.3308 0.4782 0.6616
Rh 0.6819 0.1603 0.3638
Rh 0.6692 0.5218 0.3384
Rh 0.3181 0.8397 0.6362

Values from the calculation:
As for the formation energy: -0.462 eV/atom. Its crystal system is monoclinic. Its space group is No. 12.



This record from Alexandria describes a relaxed structure of SrTm3Rh8. The functional is PBE.

Lattice parameters (Å, degrees): 5.3341 5.3341 8.7707 90.00 90.00 120.00
Positions (direct):
Sr 0.0000 0.0000 0.5648
Tm 0.6667 0.3333 0.4322
Tm 0.6667 0.3333 0.0666
Tm 0.0000 0.0000 0.9309
Rh 0.3333 0.6667 0.4994
Rh 0.3333 0.6667 0.0001
Rh 0.5026 0.0052 0.7572
Rh 0.5026 0.4974 0.7572
Rh 0.9948 0.4974 0.7572
Rh 0.1649 0.3297 0.2448
Rh 0.1649 0.8351 0.2448
Rh 0.6703 0.8351 0.2448

Values from the calculation:
As for the formation energy: -0.607 eV/atom. Its crystal system is trigonal. Its space group is No. 156.



This record from Alexandria describes a relaxed structure of SrTm2Rh. The functional is PBE.

Lattice parameters (Å, degrees): 3.5052 3.5052 9.5135 90.00 90.00 90.00
Positions (direct):
Sr 0.5000 0.5000 0.5000
Tm 0.0000 0.0000 0.8349
Tm 0.0000 0.0000 0.1651
Rh 0.5000 0.5000 0.0000

Values from the calculation:
As for the formation energy: -0.373 eV/atom. Its crystal system is tetragonal. Its space group is No. 123.



This record from Alexandria describes a relaxed structure of SrTm2Rh. The functional is PBE.

Lattice parameters (Å, degrees): 3.9483 3.9483 10.8823 79.55 79.55 60.00
Positions (direct):
Sr 0.0000 0.0000 0.0000
Tm 0.1209 0.1209 0.6374
Tm 0.8791 0.8791 0.3626
Rh 0.5000 0.5000 0.5000

Values from the calculation:
As for the formation energy: -0.270 eV/atom. Its crystal system is trigonal. Its space group is No. 166.



This record from Alexandria describes a relaxed structure of SrTmRh2. The functional is PBE.

Lattice parameters (Å, degrees): 3.4405 3.4405 7.2279 90.00 90.00 90.00
Positions (direct):
Sr 0.5000 0.5000 0.5000
Tm 0.5000 0.5000 0.0000
Rh 0.0000 0.0000 0.7866
Rh 0.0000 0.0000 0.2134

Values from the calculation:
As for the formation energy: -0.568 eV/atom. Its crystal system is tetragonal. Its space group is No. 123.



This record from Alexandria describes a relaxed structure of SrTm2Rh9. The functional is PBE.

Lattice parameters (Å, degrees): 5.3002 5.3002 9.2253 73.31 73.31 60.00
Positions (direct):
Sr 0.0000 0.0000 0.0000
Tm 0.8608 0.8608 0.4177
Tm 0.1392 0.1392 0.5823
Rh 0.6669 0.6669 0.9994
Rh 0.3331 0.3331 0.0006
Rh 0.5000 0.5000 0.5000
Rh 0.4152 0.4152 0.2523
Rh 0.9173 0.4152 0.2523
Rh 0.4152 0.9173 0.2523
Rh 0.5848 0.5848 0.7477
Rh 0.5848 0.0827 0.7477
Rh 0.0827 0.5848 0.7477

Values from the calculation:
As for the formation energy: -0.457 eV/atom. Its crystal system is trigonal. Its space group is No. 166.



This record from Alexandria describes a relaxed structure of SrURh3. The functional is PBE.

Lattice parameters (Å, degrees): 6.6881 6.2305 6.2304 120.00 90.00 90.00
Site moments in Bohr magnetons follow the coordinates.
Positions (direct):
Sr 0.7499 0.6667 0.3334  0.00
Sr 0.2501 0.3333 0.6666  0.00
U 0.0000 0.0000 0.0000  -0.16
U 0.5000 0.0000 0.0000  -0.16
Rh 0.7501 0.6322 0.8162  0.01
Rh 0.2499 0.8161 0.6322  0.01
Rh 0.2499 0.3678 0.1838  0.01
Rh 0.7501 0.1839 0.3678  0.01
Rh 0.2499 0.8161 0.1838  0.01
Rh 0.7501 0.1839 0.8162  0.01

Values from the calculation:
As for the formation energy: -0.314 eV/atom. Its crystal system is hexagonal. Its space group is No. 194.



This record from Alexandria describes a relaxed structure of SrVRh2. The functional is PBE.

Lattice parameters (Å, degrees): 4.6756 4.6756 4.6756 60.00 60.00 60.00
Site moments in Bohr magnetons follow the coordinates.
Positions (direct):
Sr 0.5000 0.5000 0.5000  -0.01
Rh 0.2500 0.2500 0.2500  -0.05
Rh 0.7500 0.7500 0.7500  -0.05
V 0.0000 0.0000 0.0000  1.65

Values from the calculation:
As for the formation energy: 0.205 eV/atom. Its crystal system is cubic. Its space group is No. 225.



This record from Alexandria describes a relaxed structure of SrVRh2. The functional is PBE.

Lattice parameters (Å, degrees): 7.2653 7.2653 6.0134 52.84 52.84 90.00
Positions (direct):
Sr 0.0000 0.0000 0.0000
Sr 0.7500 0.2500 0.5000
Rh 0.5505 0.1250 0.2500
Rh 0.1995 0.6250 0.2500
Rh 0.3750 0.4495 0.7500
Rh 0.8750 0.8005 0.7500
V 0.5000 0.5000 0.0000
V 0.2500 0.7500 0.5000

Values from the calculation:
As for the formation energy: 0.130 eV/atom. Its crystal system is tetragonal. Its space group is No. 122.



This record from Alexandria describes a relaxed structure of Sr2V2Rh. The functional is PBE.

Lattice parameters (Å, degrees): 3.4113 3.4113 10.4197 80.58 80.58 90.00
Positions (direct):
Sr 0.4069 0.4069 0.1862
Sr 0.5931 0.5931 0.8138
Rh 0.0000 0.0000 0.0000
V 0.7500 0.2500 0.5000
V 0.2500 0.7500 0.5000

Values from the calculation:
As for the formation energy: 0.435 eV/atom. Its crystal system is tetragonal. Its space group is No. 139.



This record from Alexandria describes a relaxed structure of SrVRh2. The functional is PBE.

Lattice parameters (Å, degrees): 3.0999 3.0999 7.5770 90.00 90.00 90.00
Positions (direct):
Sr 0.5000 0.5000 0.5000
Rh 0.0000 0.0000 0.8164
Rh 0.0000 0.0000 0.1836
V 0.5000 0.5000 0.0000

Values from the calculation:
As for the formation energy: -0.173 eV/atom. Its crystal system is tetragonal. Its space group is No. 123.



This record from Alexandria describes a relaxed structure of Sr3VRh. The functional is PBE.

Lattice parameters (Å, degrees): 5.7443 5.7443 5.7443 90.00 90.00 90.00
Site moments in Bohr magnetons follow the coordinates.
Positions (direct):
Sr 0.0000 0.5000 0.0000  0.02
Sr 0.0000 0.0000 0.5000  0.02
Sr 0.5000 0.0000 0.0000  0.02
Rh 0.0000 0.0000 0.0000  0.04
V 0.5000 0.5000 0.5000  3.12

Values from the calculation:
As for the formation energy: 0.444 eV/atom. Its crystal system is cubic. Its space group is No. 221.



This record from Alexandria describes a relaxed structure of Sr2VRh2. The functional is PBE.

Lattice parameters (Å, degrees): 6.7427 6.7427 4.9870 90.00 90.00 90.00
Site moments in Bohr magnetons follow the coordinates.
Positions (direct):
Sr 0.1765 0.6765 0.5000  0.01
Sr 0.6765 0.8235 0.5000  0.01
Sr 0.8235 0.3235 0.5000  0.01
Sr 0.3235 0.1765 0.5000  0.01
Rh 0.3595 0.8595 0.0000  -0.14
Rh 0.8595 0.6405 0.0000  -0.14
Rh 0.6405 0.1405 0.0000  -0.14
Rh 0.1405 0.3595 0.0000  -0.14
V 0.0000 0.0000 0.0000  1.59
V 0.5000 0.5000 0.0000  1.59

Values from the calculation:
As for the formation energy: 0.025 eV/atom. Its crystal system is tetragonal. Its space group is No. 127.



This record from Alexandria describes a relaxed structure of Sr2V2Rh. The functional is PBE.

Lattice parameters (Å, degrees): 8.7300 8.7300 3.4768 90.00 90.00 90.00
Positions (direct):
Sr 0.2869 0.7869 0.0000
Sr 0.7869 0.7131 0.0000
Sr 0.7131 0.2131 0.0000
Sr 0.2131 0.2869 0.0000
Rh 0.0000 0.0000 0.0000
Rh 0.5000 0.5000 0.0000
V 0.0740 0.5740 0.5000
V 0.5740 0.9260 0.5000
V 0.9260 0.4260 0.5000
V 0.4260 0.0740 0.5000

Values from the calculation:
As for the formation energy: 0.997 eV/atom. Its crystal system is tetragonal. Its space group is No. 127.



This record from Alexandria describes a relaxed structure of SrRh2W. The functional is PBE.

Lattice parameters (Å, degrees): 4.0172 4.0172 7.3070 86.43 86.43 42.59
Positions (direct):
Rh 0.9977 0.9977 0.0558
Rh 0.5023 0.5023 0.4442
Sr 0.7500 0.7500 0.7500
W 0.2500 0.2500 0.2500

Values from the calculation:
As for the formation energy: 0.202 eV/atom. Its crystal system is monoclinic. Its space group is No. 12.



This record from Alexandria describes a relaxed structure of SrRh2W. The functional is PBE.

Lattice parameters (Å, degrees): 5.0033 5.0033 5.6806 81.06 81.06 34.48
Positions (direct):
Rh 0.9992 0.9992 0.0421
Rh 0.7324 0.7324 0.7913
Sr 0.4926 0.4926 0.5319
W 0.2758 0.2758 0.1348

Values from the calculation:
As for the formation energy: 0.297 eV/atom. Its crystal system is monoclinic. Its space group is No. 8.



This record from Alexandria describes a relaxed structure of SrRh2W. The functional is PBE.

Lattice parameters (Å, degrees): 6.0494 6.0494 6.0494 152.45 133.25 55.13
Positions (direct):
Rh 0.0071 0.0071 0.0000
Rh 0.7776 0.2776 0.5000
Sr 0.5004 0.5004 0.0000
W 0.2148 0.7148 0.5000

Values from the calculation:
As for the formation energy: 0.351 eV/atom. Its crystal system is orthorhombic. Its space group is No. 44.



| no. | magnetic moment (Bohr magnetons per cell) |
| --- | --- |
| 1 | 0.00 |
| 2 | 0.00 |
| 3 | 0.00 |
| 4 | 0.00 |
| 5 | 0.00 |
| 6 | 0.00 |
| 7 | 0.00 |
| 8 | 0.00 |
| 9 | 0.00 |
| 10 | 0.00 |
| 11 | 0.00 |
| 12 | 0.00 |
| 13 | 0.00 |
| 14 | 0.00 |
| 15 | 0.00 |
| 16 | 0.31 |
| 17 | 1.74 |
| 18 | 0.01 |
| 19 | 0.00 |
| 20 | 0.01 |
| 21 | 4.51 |
| 22 | 3.49 |
| 23 | 0.00 |
| 24 | 0.00 |
| 25 | 0.00 |
| 26 | 0.00 |